PBE YbZn13, optimized geometry; size of the total moment = 0.4 Bohr magnetons per cell; energy relative to the elements = -136.1 meV per atom; E = -39.99 eV for the cell shown; crystal system = cubic
1.0
0.000 6.093 6.093
6.093 0.000 6.093
6.093 6.093 0.000
Yb Zn
2 26
Direct
0.250 0.250 0.250
0.750 0.750 0.750
0.000 0.000 0.000
0.059 0.301 0.699
0.059 0.699 0.941
0.059 0.941 0.301
0.199 0.441 0.801
0.199 0.559 0.441
0.199 0.801 0.559
0.301 0.059 0.941
0.301 0.699 0.059
0.301 0.941 0.699
0.441 0.199 0.559
0.441 0.559 0.801
0.441 0.801 0.199
0.500 0.500 0.500
0.559 0.199 0.801
0.559 0.441 0.199
0.559 0.801 0.441
0.699 0.059 0.301
0.699 0.301 0.941
0.699 0.941 0.059
0.801 0.199 0.441
0.801 0.441 0.559
0.801 0.559 0.199
0.941 0.059 0.699
0.941 0.301 0.059
0.941 0.699 0.301